Entry 1:
# MnCuPbBr2 (PBEsol, optimized geometry)
# - formation energy (no corrections) (eV per atom) = 0.399
data_MnCuPbBr2
_chemical_formula_sum 'Mn1 Cu1 Pb1 Br2'
_space_group_name_H-M_alt 'P 4/m m m'
_space_group_IT_number 123
_space_group_name_Hall '-P 4 2'
_cell_length_a 4.8893
_cell_length_b 4.8893
_cell_length_c 5.0606
_cell_angle_alpha 90.00
_cell_angle_beta 90.00
_cell_angle_gamma 90.00
loop_
_atom_site_label
_atom_site_fract_x
_atom_site_fract_y
_atom_site_fract_z
_atom_site_occupancy
Mn1 0.0000 0.0000 0.0000 1
Cu1 0.0000 0.0000 0.5000 1
Pb1 0.5000 0.5000 0.0000 1
Br1 0.0000 0.5000 0.5000 1


Entry 2:
# MnCuSeBr2 (PBEsol, optimized geometry)
# - formation energy (no corrections) (eV per atom) = 0.297
data_MnCuSeBr2
_chemical_formula_sum 'Mn1 Cu1 Se1 Br2'
_space_group_name_H-M_alt 'P 4/m m m'
_space_group_IT_number 123
_space_group_name_Hall '-P 4 2'
_cell_length_a 4.8872
_cell_length_b 4.8872
_cell_length_c 4.9382
_cell_angle_alpha 90.00
_cell_angle_beta 90.00
_cell_angle_gamma 90.00
loop_
_atom_site_label
_atom_site_fract_x
_atom_site_fract_y
_atom_site_fract_z
_atom_site_occupancy
Mn1 0.0000 0.0000 0.0000 1
Cu1 0.5000 0.5000 0.5000 1
Se1 0.0000 0.0000 0.5000 1
Br1 0.0000 0.5000 0.0000 1


Entry 3:
# Cu2MoBr (PBEsol, optimized geometry)
# - polymorph energy (0 for the lowest one) (eV/atom) = 0.6917
# - formation energy (no corrections) (eV per atom) = 1.137
data_Cu2MoBr
_chemical_formula_sum 'Cu8 Mo4 Br4'
_space_group_name_H-M_alt 'F m -3 m'
_space_group_IT_number 225
_space_group_name_Hall '-F 4 2 3'
_cell_length_a 6.2933
_cell_length_b 6.2933
_cell_length_c 6.2933
_cell_angle_alpha 90.00
_cell_angle_beta 90.00
_cell_angle_gamma 90.00
loop_
_atom_site_label
_atom_site_fract_x
_atom_site_fract_y
_atom_site_fract_z
_atom_site_occupancy
Cu1 0.2500 0.2500 0.2500 1
Mo1 0.0000 0.0000 0.0000 1
Br1 0.0000 0.0000 0.5000 1


Entry 4:
# Cu2MoBr (PBEsol, optimized geometry)
# - polymorph energy (0 for the lowest one) (eV/atom) = 0.2334
# - formation energy (no corrections) (eV per atom) = 0.679
data_Cu2MoBr
_chemical_formula_sum 'Cu4 Mo2 Br2'
_space_group_name_H-M_alt 'C m m m'
_space_group_IT_number 65
_space_group_name_Hall '-C 2 2'
_cell_length_a 4.9496
_cell_length_b 8.4667
_cell_length_c 2.8213
_cell_angle_alpha 90.00
_cell_angle_beta 90.00
_cell_angle_gamma 90.00
loop_
_atom_site_label
_atom_site_fract_x
_atom_site_fract_y
_atom_site_fract_z
_atom_site_occupancy
Cu1 0.2500 0.2500 0.0000 1
Mo1 0.0000 0.0000 0.5000 1
Br1 0.0000 0.5000 0.5000 1


In the order shown, the computed Fermi-level density of states values come out to 3.24; 3.32; 2.84; 2.57 states/eV/f.u..